Entry 1:
The following is a DFT calculation (PBE) of a geometry-optimized Cs2N2F structure.

## Properties
Formation energy without anion corrections, eV per atom: -1.14
Energy above the lowest structure with this stoichiometry, meV per atom: 0
Magnetization, μB per cell: 0.40

a = 4.5280 Å, b = 4.5280 Å, c = 8.5435 Å
α = 109.34°, β = 109.34°, γ = 57.20°
Closest atoms and distances in Å follow each position.
Sites, in units of the cell vectors:
Cs 0.2449 0.2449 0.2159  3 F 3.03-3.22, 3 N 3.05-3.30
Cs 0.7551 0.7551 0.7841  3 F 3.03-3.22, 3 N 3.05-3.30
N 0.0432 0.0432 0.4574  1 N 1.17
N 0.9568 0.9568 0.5426  1 N 1.17
F 0.5000 0.5000 0.0000  6 Cs 3.03-3.22

---

Entry 2:
The following is a DFT calculation (PBE) of a geometry-optimized VSeI2 structure.

## Properties
Formation energy without anion corrections, eV per atom: -0.21
Energy above the lowest structure with this stoichiometry, meV per atom: 0
Magnetization, μB per cell: 2.60

a = 7.6983 Å, b = 7.6983 Å, c = 7.6983 Å
α = 95.50°, β = 95.50°, γ = 143.92°
Closest atoms and distances in Å follow each position.
Sites, in units of the cell vectors:
V 0.0000 0.0000 0.0000  2 Se 2.38
V 0.7500 0.2500 0.5000  2 Se 2.38
Se 0.2500 0.7500 0.5000  2 V 2.38
Se 0.5000 0.5000 0.0000  2 V 2.38
I 0.3750 0.2223 0.3473  2 V 2.84
I 0.7777 0.1250 0.1527  2 V 2.84
I 0.8750 0.0277 0.6527  2 V 2.84
I 0.9723 0.6250 0.8473  2 V 2.84

---

Entry 3:
The following is a DFT calculation (PBE) of a geometry-optimized CsRb2ErBr6 structure.

## Properties
Formation energy without anion corrections, eV per atom: -1.84
Magnetization, μB per cell: 0.00

a = 8.2449 Å, b = 8.7836 Å, c = 14.3055 Å
α = 90.00°, β = 124.57°, γ = 90.00°
Closest atoms and distances in Å follow each position.
Sites, in units of the cell vectors:
Cs 0.0000 0.0000 0.0000  6 Br 3.53-3.67
Cs 0.0000 0.5000 0.5000  6 Br 3.53-3.67
Rb 0.2133 0.0772 0.7450  6 Br 3.49-3.74
Rb 0.2133 0.4228 0.2450  6 Br 3.49-3.74
Rb 0.7867 0.5772 0.7550  6 Br 3.49-3.74
Rb 0.7867 0.9228 0.2550  6 Br 3.49-3.74
Er 0.5000 0.0000 0.5000  6 Br 2.78-2.81
Er 0.5000 0.5000 0.0000  6 Br 2.78-2.81
Br 0.1690 0.1698 0.4400  1 Er 2.78
Br 0.1690 0.3302 0.9400  1 Er 2.78
Br 0.2661 0.7362 0.4177  1 Er 2.81
Br 0.2661 0.7638 0.9177  1 Er 2.81
Br 0.4235 0.0607 0.2864  1 Er 2.80
Br 0.4235 0.4393 0.7864  1 Er 2.80
Br 0.5765 0.5607 0.2136  1 Er 2.80
Br 0.5765 0.9393 0.7136  1 Er 2.80
Br 0.7339 0.2362 0.0823  1 Er 2.81
Br 0.7339 0.2638 0.5823  1 Er 2.81
Br 0.8310 0.6698 0.0600  1 Er 2.78
Br 0.8310 0.8302 0.5600  1 Er 2.78

---

Entry 4:
The following is a DFT calculation (PBE) of a geometry-optimized Ta2Zn2O7 structure.

## Properties
Formation energy without anion corrections, eV per atom: -2.26
Magnetization, μB per cell: 0.00

a = 5.5105 Å, b = 5.5105 Å, c = 5.3967 Å
α = 98.73°, β = 98.73°, γ = 103.93°
Closest atoms and distances in Å follow each position.
Sites, in units of the cell vectors:
Ta 0.2485 0.2485 0.3961  4 O 1.85-1.97
Ta 0.7515 0.7515 0.6039  4 O 1.85-1.97
Zn 0.3149 0.6851 0.0000  4 O 1.97-2.15
Zn 0.6851 0.3149 0.0000  4 O 1.97-2.15
O 0.0000 0.0000 0.5000  2 Ta 1.90
O 0.0317 0.3905 0.2060  1 Ta 1.85, 1 Zn 1.97
O 0.3905 0.0317 0.2060  1 Ta 1.85, 1 Zn 1.97
O 0.4515 0.4515 0.7263  1 Ta 1.97, 2 Zn 2.15
O 0.5485 0.5485 0.2737  1 Ta 1.97, 2 Zn 2.15
O 0.6095 0.9683 0.7940  1 Ta 1.85, 1 Zn 1.97
O 0.9683 0.6095 0.7940  1 Ta 1.85, 1 Zn 1.97